Density functional theory data (PBE) for an optimized crystal structure of KSr3Mn.

a b c (Å): 6.0494 6.0494 6.0494
angles (deg): 90.00 90.00 90.00
Space group Pm-3m (No. 221)
Asymmetric unit:
K (0.0000, 0.0000, 0.0000) x1
Sr (0.0000, 0.5000, 0.5000) x3
Mn (0.5000, 0.5000, 0.5000) x1

Values from the calculation:
E_form = 0.643 eV per atom

=====

Density functional theory data (PBE) for an optimized crystal structure of Y3PuSe6.

a b c (Å): 11.6261 4.1259 11.8361
angles (deg): 90.00 109.05 90.00
Space group P2_1/m (No. 11)
Asymmetric unit:
Y (0.0672, 0.2500, 0.1663) x2
Y (0.1805, 0.7500, 0.5011) x2
Y (0.3423, 0.2500, 0.9180) x2
Pu (0.4546, 0.2500, 0.3105) x2
Se (0.0195, 0.2500, 0.3845) x2
Se (0.1040, 0.2500, 0.9366) x2
Se (0.2450, 0.7500, 0.2763) x2
Se (0.3062, 0.7500, 0.7501) x2
Se (0.3851, 0.2500, 0.5380) x2
Se (0.4176, 0.7500, 0.0997) x2

Values from the calculation:
formation energy (no corrections) = -1.765 eV per atom

=====

Density functional theory data (PBE) for an optimized crystal structure of BaSr2Si.

a b c (Å): 10.3317 10.3317 6.9659
angles (deg): 90.00 90.00 90.00
Space group I-42d (No. 122)
Asymmetric unit:
Ba (0.0000, 0.0000, 0.0000) x4
Sr (0.1467, 0.2500, 0.6250) x8
Si (0.0000, 0.0000, 0.5000) x4

Values from the calculation:
formation energy (no corrections) = -0.016 eV per atom

=====

Density functional theory data (PBE) for an optimized crystal structure of MgZr2Te.

a b c (Å): 11.2773 3.5515 5.0641
angles (deg): 90.00 116.63 90.00
Space group Cm (No. 8)
Asymmetric unit:
Mg (0.0000, 0.0000, 0.0000) x2
Zr (0.0167, 0.5000, 0.5145) x2
Zr (0.2605, 0.5000, 0.1636) x2
Te (0.2520, 0.0000, 0.6433) x2

Values from the calculation:
formation energy (no corrections) = -0.265 eV per atom
offset from the most stable computed form = 3.2 kJ per mole of atoms

=====

Density functional theory data (PBE) for an optimized crystal structure of Ac3RhS2.

a b c (Å): 4.2206 6.1704 13.5503
angles (deg): 90.00 90.00 90.00
Space group Immm (No. 71)
Asymmetric unit:
Ac (0.0000, 0.0000, 0.0000) x2
Ac (0.0000, 0.0000, 0.3441) x4
Rh (0.0000, 0.5000, 0.0000) x2
S (0.0000, 0.5000, 0.3299) x4

Values from the calculation:
formation energy (no corrections) = -1.527 eV per atom

=====

Density functional theory data (PBE) for an optimized crystal structure of CaSc2Cu.

a b c (Å): 12.0961 3.3551 5.2151
angles (deg): 90.00 115.45 90.00
Space group C2/m (No. 12)
Asymmetric unit:
Ca (0.0000, 0.0000, 0.0000) x2
Sc (0.2023, 0.0000, 0.7024) x4
Cu (0.0000, 0.5000, 0.5000) x2

Values from the calculation:
E_form = 0.008 eV per atom